1.
K3Rb3CrCl8 after structural relaxation. Source: Alexandria via LeMat-Bulk, functional PBE.

Calculated values
- crystal system = trigonal
- SG = R-3m, No. 166
- DFT total energy (eV/atom) = -3.769
- N(E_F) (states/eV/f.u.) = 6.6

Cell lengths 8.9691, 8.9692, 9.1321 Å; angles 119.40, 90.00, 120.00 degrees
Last column: nearest neighbours and their distance in Å.
Atoms (fractional coordinates):
K (0.5000, 0.0000, 0.5000)  6 Cl 3.14-3.21
K (0.5000, 0.5000, 0.5000)  6 Cl 3.14-3.21
K (0.0000, 0.5000, 0.5000)  6 Cl 3.14-3.21
Rb (0.0000, 0.0000, 0.0000)  6 Cl 3.26-3.31
Rb (0.0000, 0.5000, 0.0000)  6 Cl 3.26-3.31
Rb (0.5000, 0.5000, 0.0000)  6 Cl 3.26-3.31
Cr (0.0000, 0.0000, 0.5000)  6 Cl 2.58
Cl (0.2546, 0.5092, 0.2637)  3 K 3.14, 3 Rb 3.26
Cl (0.7454, 0.4908, 0.7363)  3 K 3.14, 3 Rb 3.26
Cl (0.7981, 0.5962, 0.3044)  1 Cr 2.58
Cl (0.2019, 0.4038, 0.6956)  1 Cr 2.58
Cl (0.7983, 0.0063, 0.3046)  1 Cr 2.58
Cl (0.2017, 0.9937, 0.6954)  1 Cr 2.58
Cl (0.2080, 0.0063, 0.3046)  1 Cr 2.58
Cl (0.7920, 0.9937, 0.6954)  1 Cr 2.58

***

2.
Sr4CrCl after structural relaxation. Source: Alexandria via LeMat-Bulk, functional PBE.

Calculated values
- crystal system = cubic
- SG = F-43m, No. 216
- DFT total energy (eV/atom) = -2.552
- N(E_F) (states/eV/f.u.) = 7.8

Cell lengths 7.5028, 7.5028, 7.5028 Å; angles 60.00, 60.00, 60.00 degrees
Last column: nearest neighbours and their distance in Å.
Atoms (fractional coordinates):
Sr (0.8779, 0.3740, 0.3740)  6 Sr 3.72-3.78
Sr (0.3740, 0.3740, 0.8779)  6 Sr 3.72-3.78
Sr (0.3740, 0.8779, 0.3740)  6 Sr 3.72-3.78
Sr (0.3740, 0.3740, 0.3740)  6 Sr 3.72-3.78
Cr (0.0000, 0.0000, 0.0000)  12 Sr 4.40, 4 Cl 4.59
Cl (0.7500, 0.7500, 0.7500)  12 Sr 4.40, 4 Cr 4.59

***

3.
Fe2CuRu after structural relaxation. Source: Alexandria via LeMat-Bulk, functional PBE.

Calculated values
- crystal system = tetragonal
- SG = I-4m2, No. 119
- excess energy over the best structure of this formula in the dataset (meV per atom) = 37.9
- DFT total energy (eV/atom) = -7.373
- E_form (eV per formula unit) = 0.81
- N(E_F) (states/eV/f.u.) = 4.2

Cell lengths 4.4460, 4.4460, 4.4460 Å; angles 131.13, 131.13, 71.60 degrees
Last column: nearest neighbours and their distance in Å.
Atoms (fractional coordinates):
Cu (0.7500, 0.2500, 0.5000)  8 Fe 2.58-2.60, 4 Ru 2.58
Fe (0.0000, 0.0000, 0.0000)  4 Fe 2.58, 4 Cu 2.58, 4 Ru 2.60
Fe (0.2500, 0.7500, 0.5000)  4 Ru 2.58, 4 Fe 2.58, 4 Cu 2.60
Ru (0.5000, 0.5000, 0.0000)  8 Fe 2.58-2.60, 4 Cu 2.58

***

4.
NiPtRh2 after structural relaxation. Source: Alexandria via LeMat-Bulk, functional PBE.

Calculated values
- crystal system = tetragonal
- SG = I-42d, No. 122
- DFT total energy (eV/atom) = -6.201
- E_form (eV per formula unit) = 1.72
- N(E_F) (states/eV/f.u.) = 7.5

Cell lengths 6.8229, 6.8229, 5.4745 Å; angles 51.45, 51.45, 90.00 degrees
Last column: nearest neighbours and their distance in Å.
Atoms (fractional coordinates):
Ni (0.5000, 0.5000, 0.0000)  4 Rh 2.37, 2 Pt 2.59
Ni (0.2500, 0.7500, 0.5000)  4 Rh 2.37, 2 Pt 2.59
Rh (0.5960, 0.1250, 0.2500)  2 Ni 2.37, 2 Rh 2.62, 2 Pt 2.64
Rh (0.1540, 0.6250, 0.2500)  2 Ni 2.37, 2 Rh 2.62, 2 Pt 2.64
Rh (0.3750, 0.4040, 0.7500)  2 Ni 2.37, 2 Rh 2.62, 2 Pt 2.64
Rh (0.8750, 0.8460, 0.7500)  2 Ni 2.37, 2 Rh 2.62, 2 Pt 2.64
Pt (0.0000, 0.0000, 0.0000)  2 Ni 2.59, 4 Rh 2.64
Pt (0.7500, 0.2500, 0.5000)  2 Ni 2.59, 4 Rh 2.64

***

5.
Ac2YCd4 after structural relaxation. Source: Alexandria via LeMat-Bulk, functional PBE.

Calculated values
- crystal system = tetragonal
- SG = I4/mmm, No. 139
- DFT total energy (eV/atom) = -2.785
- E_form (eV per formula unit) = -1.16
- N(E_F) (states/eV/f.u.) = 5.9

Cell lengths 5.5831, 5.5831, 8.3060 Å; angles 109.64, 109.64, 90.00 degrees
Last column: nearest neighbours and their distance in Å.
Atoms (fractional coordinates):
Ac (0.7348, 0.7348, 0.4697)  8 Cd 3.39-3.66
Ac (0.2652, 0.2652, 0.5303)  8 Cd 3.39-3.66
Y (0.0000, 0.0000, 0.0000)  8 Cd 3.17
Cd (0.3969, 0.8969, 0.7938)  1 Cd 3.01, 2 Y 3.17
Cd (0.8969, 0.3969, 0.7938)  1 Cd 3.01, 2 Y 3.17
Cd (0.6031, 0.1031, 0.2062)  1 Cd 3.01, 2 Y 3.17
Cd (0.1031, 0.6031, 0.2062)  1 Cd 3.01, 2 Y 3.17

***

6.
MnCoAs2Br after structural relaxation. Source: Alexandria via LeMat-Bulk, functional PBE.

Calculated values
- crystal system = tetragonal
- SG = P4/mmm, No. 123
- excess energy over the best structure of this formula in the dataset (meV per atom) = 281.0
- DFT total energy (eV/atom) = -4.671
- N(E_F) (states/eV/f.u.) = 5.6

Cell lengths 4.4866, 4.4866, 5.3336 Å; angles 90.00, 90.00, 90.00 degrees
Last column: nearest neighbours and their distance in Å.
Atoms (fractional coordinates):
As (0.0000, 0.5000, 0.0000)  2 Mn 2.24
As (0.5000, 0.0000, 0.0000)  2 Mn 2.24
Mn (0.0000, 0.0000, 0.0000)  4 As 2.24
Co (0.5000, 0.5000, 0.5000)  4 Br 3.17, 8 As 3.48
Br (0.0000, 0.0000, 0.5000)  2 Mn 2.67

***

7.
TlTc2H after structural relaxation. Source: Alexandria via LeMat-Bulk, functional PBE.

Calculated values
- crystal system = cubic
- SG = Fm-3m, No. 225
- excess energy over the best structure of this formula in the dataset (meV per atom) = 732.6
- DFT total energy (eV/atom) = -5.221
- N(E_F) (states/eV/f.u.) = 9.0

Cell lengths 4.3843, 4.3843, 4.3843 Å; angles 60.00, 60.00, 60.00 degrees
Last column: nearest neighbours and their distance in Å.
Atoms (fractional coordinates):
H (0.0000, 0.0000, 0.0000)  8 Tc 2.68
Tl (0.5000, 0.5000, 0.5000)  8 Tc 2.68
Tc (0.2500, 0.2500, 0.2500)  4 Tl 2.68, 4 H 2.68
Tc (0.7500, 0.7500, 0.7500)  4 Tl 2.68, 4 H 2.68

***

8.
VAgSn2Te after structural relaxation. Source: Alexandria via LeMat-Bulk, functional PBE.

Calculated values
- crystal system = tetragonal
- SG = P4/mmm, No. 123
- DFT total energy (eV/atom) = -4.283
- N(E_F) (states/eV/f.u.) = 3.7

Cell lengths 5.2244, 5.0065, 5.2244 Å; angles 90.00, 90.00, 90.00 degrees
Last column: nearest neighbours and their distance in Å.
Atoms (fractional coordinates):
Te (0.0000, 0.5000, 0.0000)  2 V 2.50
Sn (0.0000, 0.0000, 0.5000)  2 V 2.61
Sn (0.5000, 0.0000, 0.0000)  2 V 2.61
Ag (0.5000, 0.5000, 0.5000)  8 Sn 3.62, 4 Te 3.69
V (0.0000, 0.0000, 0.0000)  2 Te 2.50, 4 Sn 2.61

***

9.
Rb2AgPb after structural relaxation. Source: Alexandria via LeMat-Bulk, functional PBE.

Calculated values
- crystal system = tetragonal
- SG = I-42d, No. 122
- DFT total energy (eV/atom) = -2.043
- E_form (eV per formula unit) = 0.32
- N(E_F) (states/eV/f.u.) = 3.6

Cell lengths 13.0004, 13.0004, 9.5779 Å; angles 47.26, 47.26, 90.00 degrees
Last column: nearest neighbours and their distance in Å.
Atoms (fractional coordinates):
Pb (0.0000, 0.0000, 0.0000)  2 Ag 2.69
Pb (0.7500, 0.2500, 0.5000)  2 Ag 2.69
Rb (0.4612, 0.1250, 0.2500)  2 Ag 3.50
Rb (0.2888, 0.6250, 0.2500)  2 Ag 3.50
Rb (0.3750, 0.5388, 0.7500)  2 Ag 3.50
Rb (0.8750, 0.7112, 0.7500)  2 Ag 3.50
Ag (0.5000, 0.5000, 0.0000)  2 Pb 2.69
Ag (0.2500, 0.7500, 0.5000)  2 Pb 2.69

***

10.
Sr5CaMg after structural relaxation. Source: Alexandria via LeMat-Bulk, functional PBE.

Calculated values
- crystal system = monoclinic
- SG = C2/c, No. 15
- excess energy over the best structure of this formula in the dataset (meV per atom) = 133.5
- DFT total energy (eV/atom) = -1.513
- E_form (eV per formula unit) = 1.41
- N(E_F) (states/eV/f.u.) = 6.6

Cell lengths 8.0083, 8.0083, 14.1124 Å; angles 66.94, 66.94, 70.40 degrees
Last column: nearest neighbours and their distance in Å.
Atoms (fractional coordinates):
Sr (0.5887, 0.8677, 0.2545)  1 Mg 3.87, 6 Sr 3.96-4.25, 2 Ca 3.97-4.11
Sr (0.2567, 0.4899, 0.4895)  1 Ca 3.93, 1 Mg 3.94, 7 Sr 3.96-4.25
Sr (0.8677, 0.5887, 0.7545)  1 Mg 3.87, 6 Sr 3.96-4.25, 2 Ca 3.97-4.11
Sr (0.0832, 0.9168, 0.2500)  2 Mg 3.61, 1 Ca 3.89, 2 Sr 3.96
Sr (0.5101, 0.7433, 0.0105)  1 Ca 3.93, 1 Mg 3.94, 7 Sr 3.96-4.25
Sr (0.4899, 0.2567, 0.9895)  1 Ca 3.93, 1 Mg 3.94, 7 Sr 3.96-4.25
Sr (0.9168, 0.0832, 0.7500)  2 Mg 3.61, 1 Ca 3.89, 2 Sr 3.96
Sr (0.1323, 0.4113, 0.2455)  1 Mg 3.87, 6 Sr 3.96-4.25, 2 Ca 3.97-4.11
Sr (0.7433, 0.5101, 0.5105)  1 Ca 3.93, 1 Mg 3.94, 7 Sr 3.96-4.25
Sr (0.4113, 0.1323, 0.7455)  1 Mg 3.87, 6 Sr 3.96-4.25, 2 Ca 3.97-4.11
Ca (0.6621, 0.3379, 0.2500)  7 Sr 3.89-4.11
Ca (0.3379, 0.6621, 0.7500)  7 Sr 3.89-4.11
Mg (0.0000, 0.0000, 0.0000)  6 Sr 3.61-3.94
Mg (0.0000, 0.0000, 0.5000)  6 Sr 3.61-3.94

***

11.
Nb2Ga2Ge after structural relaxation. Source: Alexandria via LeMat-Bulk, functional PBE.

Calculated values
- crystal system = tetragonal
- SG = P4/mbm, No. 127
- excess energy over the best structure of this formula in the dataset (meV per atom) = 203.0
- DFT total energy (eV/atom) = -6.148
- E_form (eV per formula unit) = 0.07
- N(E_F) (states/eV/f.u.) = 5.9

Cell lengths 6.7404, 6.7404, 3.7420 Å; angles 90.00, 90.00, 90.00 degrees
Last column: nearest neighbours and their distance in Å.
Atoms (fractional coordinates):
Nb (0.1721, 0.6721, 0.5000)  6 Ga 2.66-2.78
Nb (0.6721, 0.8279, 0.5000)  6 Ga 2.66-2.78
Nb (0.8279, 0.3279, 0.5000)  6 Ga 2.66-2.78
Nb (0.3279, 0.1721, 0.5000)  6 Ga 2.66-2.78
Ge (0.0000, 0.0000, 0.0000)  4 Ga 2.64
Ge (0.5000, 0.5000, 0.0000)  4 Ga 2.64
Ga (0.3699, 0.8699, 0.0000)  1 Ga 2.48, 2 Ge 2.64, 2 Nb 2.66
Ga (0.8699, 0.6301, 0.0000)  1 Ga 2.48, 2 Ge 2.64, 2 Nb 2.66
Ga (0.6301, 0.1301, 0.0000)  1 Ga 2.48, 2 Ge 2.64, 2 Nb 2.66
Ga (0.1301, 0.3699, 0.0000)  1 Ga 2.48, 2 Ge 2.64, 2 Nb 2.66

***

12.
Gd2MgPd after structural relaxation. Source: Alexandria via LeMat-Bulk, functional PBE.

Calculated values
- crystal system = tetragonal
- SG = P4/mmm, No. 123
- excess energy over the best structure of this formula in the dataset (meV per atom) = 0.0
- DFT total energy (eV/atom) = -9.199
- E_form (eV per formula unit) = -1.85
- N(E_F) (states/eV/f.u.) = 3.2

Cell lengths 3.6577, 3.6577, 7.4410 Å; angles 90.00, 90.00, 90.00 degrees
Last column: nearest neighbours and their distance in Å.
Atoms (fractional coordinates):
Mg (0.5000, 0.5000, 0.5000)  8 Gd 3.30, 4 Mg 3.66
Gd (0.0000, 0.0000, 0.7754)  4 Pd 3.08, 4 Mg 3.30, 1 Gd 3.34
Gd (0.0000, 0.0000, 0.2246)  4 Pd 3.08, 4 Mg 3.30, 1 Gd 3.34
Pd (0.5000, 0.5000, 0.0000)  8 Gd 3.08